Record 1
A relaxed structure of LaSmDy2, computed with PBE.

Output
Spin magnetization   0.0000 μB/atom
Offset from the most stable computed form   9.5 kJ per mole of atoms
Energy of formation   0.113 eV per atom
V   33.78 Å³ per atom

Cell: 5.760 5.760 5.760 Å, 60.00 60.00 60.00°
Positions (direct):
La (0.000, 0.000, 0.000)
Sm (0.500, 0.500, 0.500)
Dy (0.250, 0.250, 0.250)
Dy (0.750, 0.750, 0.750)


Record 2
A relaxed structure of Al2PW, computed with PBE.

Output
Spin magnetization   0.0000 μB/atom
Energy of formation   0.066 eV per atom
V   15.09 Å³ per atom

Cell: 4.836 4.836 2.715 Å, 90.00 90.00 108.11°
Positions (direct):
Al (0.000, 0.500, 0.000)
Al (0.500, 0.000, 0.000)
P (0.000, 0.000, 0.500)
W (0.500, 0.500, 0.500)


Record 3
A relaxed structure of La2HfMnBe, computed with PBE.

Output
Spin magnetization   0.0000 μB/atom
Energy of formation   0.556 eV per atom
V   25.54 Å³ per atom

Cell: 5.085 5.085 4.939 Å, 90.00 90.00 90.00°
Positions (direct):
La (0.000, 0.500, 0.000)
La (0.500, 0.000, 0.000)
Hf (0.000, 0.000, 0.500)
Mn (0.000, 0.000, 0.000)
Be (0.500, 0.500, 0.500)


Record 4
A relaxed structure of RbP2Ir2, computed with PBE.

Output
Spin magnetization   0.0000 μB/atom
Energy of formation   -0.294 eV per atom
V   21.17 Å³ per atom

Cell: 3.971 3.971 6.711 Å, 90.00 90.00 90.00°
Positions (direct):
Rb (0.000, 0.000, 0.000)
P (0.500, 0.500, 0.297)
P (0.500, 0.500, 0.703)
Ir (0.000, 0.500, 0.500)
Ir (0.500, 0.000, 0.500)


Record 5
A relaxed structure of Y4Ho, computed with PBE.

Output
Spin magnetization   0.0000 μB/atom
Offset from the most stable computed form   2.7 kJ per mole of atoms
Energy of formation   0.053 eV per atom
V   32.18 Å³ per atom

Cell: 8.806 8.806 3.524 Å, 90.00 90.00 143.93°
Positions (direct):
Y (0.109, 0.891, 0.000)
Y (0.301, 0.699, 0.500)
Y (0.699, 0.301, 0.500)
Y (0.891, 0.109, 0.000)
Ho (0.500, 0.500, 0.500)


Record 6
A relaxed structure of Ca2MgW, computed with PBE.

Output
Spin magnetization   0.0059 μB/atom
Energy of formation   0.706 eV per atom
V   24.17 Å³ per atom

Cell: 2.999 5.266 6.122 Å, 90.00 90.20 90.00°
Positions (direct):
Ca (0.000, 0.000, 0.000)
Ca (0.007, 0.500, 0.673)
Mg (0.504, 0.500, 0.224)
W (0.503, 0.000, 0.481)


Record 7
A relaxed structure of Dy3NiBi, computed with PBE.

Output
Spin magnetization   0.0000 μB/atom
Offset from the most stable computed form   3.6 kJ per mole of atoms
Energy of formation   -0.396 eV per atom
V   28.30 Å³ per atom

Cell: 5.211 5.211 5.211 Å, 90.00 90.00 90.00°
Positions (direct):
Dy (0.000, 0.000, 0.500)
Dy (0.000, 0.500, 0.000)
Dy (0.500, 0.000, 0.000)
Ni (0.000, 0.000, 0.000)
Bi (0.500, 0.500, 0.500)


Record 8
A relaxed structure of Sc2GaSe, computed with PBE.

Output
Spin magnetization   0.0000 μB/atom
Offset from the most stable computed form   57.1 kJ per mole of atoms
V   24.53 Å³ per atom
ΔE_f (raw)   -0.56 eV per atom

Cell: 9.136 9.136 9.136 Å, 22.52 22.52 22.52°
Positions (direct):
Sc (0.104, 0.104, 0.104)
Sc (0.896, 0.896, 0.896)
Ga (0.000, 0.000, 0.000)
Se (0.500, 0.500, 0.500)


Record 9
A relaxed structure of NaLi2Tl2, computed with PBE.

Output
Spin magnetization   0.0000 μB/atom
Offset from the most stable computed form   4.5 kJ per mole of atoms
Energy of formation   -0.129 eV per atom
V   24.22 Å³ per atom

Cell: 5.132 3.322 14.206 Å, 90.00 90.00 90.00°
Positions (direct):
Na (0.249, 0.250, 0.243)
Na (0.751, 0.750, 0.757)
Li (0.250, 0.250, 0.646)
Li (0.250, 0.750, 0.032)
Li (0.750, 0.250, 0.968)
Li (0.750, 0.750, 0.354)
Tl (0.250, 0.250, 0.856)
Tl (0.250, 0.750, 0.450)
Tl (0.750, 0.250, 0.550)
Tl (0.750, 0.750, 0.144)


Record 10
A relaxed structure of AlZn2In2, computed with PBE.

Output
Spin magnetization   0.0000 μB/atom
Offset from the most stable computed form   0.0 kJ per mole of atoms
Energy of formation   0.127 eV per atom
V   20.93 Å³ per atom

Cell: 6.959 6.959 4.322 Å, 90.00 90.00 90.00°
Positions (direct):
Al (0.000, 0.000, 0.000)
Al (0.500, 0.500, 0.000)
Zn (0.132, 0.368, 0.000)
Zn (0.368, 0.868, 0.000)
Zn (0.632, 0.132, 0.000)
Zn (0.868, 0.632, 0.000)
In (0.176, 0.676, 0.500)
In (0.324, 0.176, 0.500)
In (0.676, 0.824, 0.500)
In (0.824, 0.324, 0.500)


Record 11
A relaxed structure of CaNd2Zn, computed with PBE.

Output
Spin magnetization   0.0000 μB/atom
Offset from the most stable computed form   6.0 kJ per mole of atoms
Energy of formation   -0.057 eV per atom
V   31.57 Å³ per atom

Cell: 6.438 6.438 8.874 Å, 90.00 90.00 136.64°
Positions (direct):
Ca (0.060, 0.940, 0.750)
Ca (0.940, 0.060, 0.250)
Nd (0.356, 0.644, 0.545)
Nd (0.356, 0.644, 0.955)
Nd (0.644, 0.356, 0.045)
Nd (0.644, 0.356, 0.455)
Zn (0.226, 0.774, 0.250)
Zn (0.774, 0.226, 0.750)


Record 12
A relaxed structure of SrLiSi, computed with PBE.

Output
Spin magnetization   0.3466 μB/atom
V   31.17 Å³ per atom
ΔE_f (raw)   0.39 eV per atom

Cell: 5.095 5.095 5.095 Å, 60.00 60.00 60.00°
Positions (direct):
Sr (0.000, 0.000, 0.000)
Li (0.250, 0.250, 0.250)
Si (0.750, 0.750, 0.750)


Record 13
A relaxed structure of BeVCo, computed with PBE.

Output
Spin magnetization   0.0000 μB/atom
Offset from the most stable computed form   0.0 kJ per mole of atoms
Energy of formation   -0.228 eV per atom
V   10.40 Å³ per atom

Cell: 3.909 3.909 4.715 Å, 90.00 90.00 120.00°
Positions (direct):
Be (0.333, 0.667, 0.250)
Be (0.667, 0.333, 0.750)
V (0.000, 0.000, 0.000)
V (0.000, 0.000, 0.500)
Co (0.333, 0.667, 0.750)
Co (0.667, 0.333, 0.250)


Record 14
A relaxed structure of Si2Pt2Se, computed with PBE.

Output
Spin magnetization   0.0000 μB/atom
Offset from the most stable computed form   0.0 kJ per mole of atoms
V   17.32 Å³ per atom
ΔE_f (raw)   -0.27 eV per atom

Cell: 6.349 6.349 6.349 Å, 144.31 144.31 51.36°
Positions (direct):
Si (0.250, 0.750, 0.500)
Si (0.750, 0.250, 0.500)
Pt (0.126, 0.126, 0.000)
Pt (0.874, 0.874, 0.000)
Se (0.500, 0.500, 0.000)


Record 15
A relaxed structure of P2RuSe, computed with PBE.

Output
Spin magnetization   0.0000 μB/atom
V   14.99 Å³ per atom
ΔE_f (raw)   0.56 eV per atom

Cell: 3.011 4.422 4.504 Å, 90.00 90.00 90.00°
Positions (direct):
P (0.000, 0.000, 0.000)
P (0.500, 0.500, 0.000)
Ru (0.000, 0.500, 0.500)
Se (0.500, 0.000, 0.500)


Record 16
A relaxed structure of HoBeSi, computed with PBE.

Output
Spin magnetization   0.0000 μB/atom
V   19.47 Å³ per atom
ΔE_f (raw)   0.15 eV per atom

Cell: 4.724 4.724 4.724 Å, 131.20 131.20 71.50°
Positions (direct):
Ho (0.000, 0.000, 0.000)
Be (0.641, 0.641, 0.000)
Si (0.361, 0.361, 0.000)


Record 17
A relaxed structure of PuAs2Se6, computed with PBE.

Output
Spin magnetization   0.3368 μB/atom
V   30.56 Å³ per atom
ΔE_f (raw)   -0.30 eV per atom

Cell: 9.222 9.222 6.596 Å, 90.53 90.53 78.73°
Positions (direct):
Pu (0.099, 0.901, 0.750)
Pu (0.901, 0.099, 0.250)
As (0.237, 0.404, 0.826)
As (0.404, 0.237, 0.326)
As (0.596, 0.763, 0.674)
As (0.763, 0.596, 0.174)
Se (0.048, 0.175, 0.579)
Se (0.175, 0.048, 0.079)
Se (0.187, 0.641, 0.990)
Se (0.308, 0.482, 0.496)
Se (0.359, 0.813, 0.510)
Se (0.482, 0.308, 0.996)
Se (0.518, 0.692, 0.004)
Se (0.641, 0.187, 0.490)
Se (0.692, 0.518, 0.504)
Se (0.813, 0.359, 0.010)
Se (0.825, 0.952, 0.921)
Se (0.952, 0.825, 0.421)


Record 18
A relaxed structure of CoIrCl2, computed with PBE.

Output
Spin magnetization   1.1688 μB/atom
Offset from the most stable computed form   72.0 kJ per mole of atoms
V   21.23 Å³ per atom
ΔE_f (raw)   0.83 eV per atom

Cell: 2.853 2.853 10.436 Å, 90.00 90.00 90.00°
Positions (direct):
Co (0.000, 0.000, 0.000)
Ir (0.000, 0.000, 0.500)
Cl (0.500, 0.500, 0.146)
Cl (0.500, 0.500, 0.854)


Record 19
A relaxed structure of Dy4Ni3Pd, computed with PBE.

Output
Spin magnetization   0.0000 μB/atom
Energy of formation   -0.562 eV per atom
V   20.56 Å³ per atom

Cell: 3.687 4.363 10.225 Å, 90.00 90.00 90.00°
Positions (direct):
Dy (0.000, 0.000, 0.000)
Dy (0.000, 0.500, 0.269)
Dy (0.500, 0.000, 0.486)
Dy (0.500, 0.500, 0.772)
Ni (0.000, 0.500, 0.549)
Ni (0.500, 0.000, 0.205)
Ni (0.500, 0.500, 0.059)
Pd (0.000, 0.000, 0.711)


Record 20
A relaxed structure of Sr2CaMgZn, computed with PBE.

Output
Spin magnetization   0.0000 μB/atom
Offset from the most stable computed form   0.0 kJ per mole of atoms
Energy of formation   0.039 eV per atom
V   39.58 Å³ per atom

Cell: 6.163 6.163 5.210 Å, 90.00 90.00 90.00°
Positions (direct):
Sr (0.000, 0.500, 0.000)
Sr (0.500, 0.000, 0.000)
Ca (0.000, 0.000, 0.500)
Mg (0.500, 0.500, 0.500)
Zn (0.500, 0.500, 0.000)